Entry from the Alexandria database: a geometry-optimized CeBe17W structure (PBE-GGA).

Output
Energy relative to the elements = -88 kJ/mol of formula units

```
CeBe17W
1.0
3.757 2.169 3.664
-3.757 2.169 3.664
0.000 -4.338 3.664
Ce Be W
1 17 1
Direct
0.000 0.000 0.000
0.008 0.008 0.499
0.008 0.499 0.008
0.162 0.657 0.657
0.322 0.322 0.817
0.322 0.817 0.322
0.376 0.655 0.950
0.376 0.950 0.655
0.499 0.008 0.008
0.559 0.559 0.559
0.655 0.376 0.950
0.655 0.950 0.376
0.657 0.162 0.657
0.657 0.657 0.162
0.751 0.751 0.751
0.817 0.322 0.322
0.950 0.376 0.655
0.950 0.655 0.376
0.324 0.324 0.324
```


Entry from the Alexandria database: a geometry-optimized HfPAu structure (PBE-GGA).

Output
Energy relative to the elements = -99 kJ/mol of formula units

```
HfPAu
1.0
1.838 1.061 12.073
-1.838 1.061 12.073
0.000 -2.122 12.073
Hf P Au
2 2 2
Direct
0.082 0.082 0.082
0.918 0.918 0.918
0.214 0.214 0.214
0.786 0.786 0.786
0.361 0.361 0.361
0.639 0.639 0.639
```


Entry from the Alexandria database: a geometry-optimized CaPrF4 structure (PBE-GGA).

Output
ΔE_f (raw) = -3.664 eV per atom

```
CaPrF4
1.0
3.863 0.000 0.000
0.000 3.863 0.000
0.000 0.000 6.063
Ca Pr F
1 1 4
Direct
0.000 0.000 0.000
0.500 0.500 0.500
0.000 0.500 0.226
0.000 0.500 0.774
0.500 0.000 0.226
0.500 0.000 0.774
```


Entry from the Alexandria database: a geometry-optimized Li2LaPr2Si2 structure (PBE-GGA).

Output
ΔE_f (raw) = -0.388 eV per atom

```
Li2LaPr2Si2
1.0
2.294 1.325 9.296
-2.294 1.325 9.296
0.000 -2.649 9.296
Li La Pr Si
2 1 2 2
Direct
0.097 0.097 0.097
0.903 0.903 0.903
0.500 0.500 0.500
0.372 0.372 0.372
0.628 0.628 0.628
0.238 0.238 0.238
0.762 0.762 0.762
```


Entry from the Alexandria database: a geometry-optimized ReMo2Rh structure (PBE-GGA).

Output
Energy relative to the elements = 98 kJ/mol of formula units
E above lowest polymorph = 0.258 eV per atom

```
ReMo2Rh
1.0
0.000 3.135 3.135
3.135 0.000 3.135
3.135 3.135 0.000
Re Mo Rh
1 2 1
Direct
0.000 0.000 0.000
0.500 0.500 0.500
0.750 0.750 0.750
0.250 0.250 0.250
```


Entry from the Alexandria database: a geometry-optimized YReOs structure (PBE-GGA).

Output
Energy relative to the elements = -69 kJ/mol of formula units
E above lowest polymorph = 0.000 eV per atom

```
YReOs
1.0
-2.612 2.829 3.755
2.612 -2.829 3.755
2.612 2.829 -3.755
Y Re Os
2 2 2
Direct
0.374 0.124 0.250
0.626 0.876 0.750
0.000 0.000 0.500
0.000 0.500 0.000
0.000 0.500 0.500
0.500 0.500 0.000
```


Number 1: energy -83.1 eV/cell. Number 2: energy -39.3 eV/cell. Number 3: energy -36.3 eV/cell. Number 4: energy -31.9 eV/cell. Number 5: energy -40.4 eV/cell. Number 6: energy -61.7 eV/cell.